Record 1
Compound: Zn2CdRh
Source: Alexandria
Functional: SCAN
Structure: single point on PBEsol structure

Lattice parameters (Å, degrees): 4.947 4.947 4.947 135.34 135.34 65.01
Fractional positions:
1 Zn 0.000 0.000 0.000
2 Zn 0.750 0.250 0.500
3 Cd 0.500 0.500 0.000
4 Rh 0.250 0.750 0.500

Crystal system: tetragonal
Formation energy from the elements, meV per atom: -200
M_tot, μB/cell: 0.000
Density of states at the Fermi level, states/eV/atom: 0.316
Theoretical density, Mg/m³: 9.75

=====

Record 2
Compound: ZnCd2Rh2
Source: Alexandria
Functional: SCAN
Structure: single point on PBEsol structure

Lattice parameters (Å, degrees): 6.412 6.412 4.069 90.00 90.00 90.00
Fractional positions:
1 Zn 0.000 0.000 0.000
2 Zn 0.500 0.500 0.000
3 Cd 0.164 0.336 0.500
4 Cd 0.336 0.836 0.500
5 Cd 0.664 0.164 0.500
6 Cd 0.836 0.664 0.500
7 Rh 0.140 0.640 0.000
8 Rh 0.360 0.140 0.000
9 Rh 0.640 0.860 0.000
10 Rh 0.860 0.360 0.000

Crystal system: tetragonal
Formation energy from the elements, meV per atom: -186
M_tot, μB/cell: 0.766
Density of states at the Fermi level, states/eV/atom: 0.707
Theoretical density, Mg/m³: 9.85